The following is a PBE calculation of FeCl after structural relaxation, from OQMD.

a b c (Å): 3.1612 3.1612 7.0102
angles (deg): 90.00 90.00 120.00
Space group P6_3/mmc (No. 194)
One atom of each set of equivalent atoms:
Fe 0.3333 0.6667 0.2500 [2 per cell]
Cl 0.0000 0.0000 0.0000 [2 per cell]

Magnetic moment: 3.002 μB per formula unit
VASP energy: -4.863 eV/atom

The following is a PBE calculation of FeCl2 after structural relaxation, from OQMD.

a b c (Å): 3.5072 3.5072 25.5559
angles (deg): 90.00 90.00 120.00
Space group P6_3mc (No. 186)
One atom of each set of equivalent atoms:
Fe 0.3333 0.6667 0.0000 [2 per cell]
Fe 0.3333 0.6667 0.2500 [2 per cell]
Cl 0.0000 0.0000 0.0548 [2 per cell]
Cl 0.0000 0.0000 0.3048 [2 per cell]
Cl 0.3333 0.6667 0.4452 [2 per cell]
Cl 0.3333 0.6667 0.6952 [2 per cell]

Magnetic moment: 4.000 μB per formula unit
VASP energy: -4.719 eV/atom

The following is a PBE calculation of Fe3Cl2 after structural relaxation, from OQMD.

a b c (Å): 6.1140 6.1140 14.3671
angles (deg): 90.00 90.00 120.00
Space group R-3c (No. 167, hexagonal axes)
One atom of each set of equivalent atoms:
Fe 0.0000 0.2289 0.2500 [18 per cell]
Cl 0.0000 0.0000 0.1033 [12 per cell]

Magnetic moment: 8.363 μB per formula unit
VASP energy: -5.257 eV/atom

The following is a PBE calculation of FeCl2 after structural relaxation, from OQMD.

a b c (Å): 3.5055 3.5055 17.8037
angles (deg): 90.00 90.00 120.00
Space group R-3m (No. 166, hexagonal axes)
One atom of each set of equivalent atoms:
Fe 0.0000 0.0000 0.0000 [3 per cell]
Cl 0.0000 0.0000 0.2549 [6 per cell]

Magnetic moment: 4.000 μB per formula unit
VASP energy: -4.710 eV/atom

The following is a PBE calculation of Fe3Cl after structural relaxation, from OQMD.

a b c (Å): 5.8072 5.8072 4.1765
angles (deg): 90.00 90.00 120.00
Space group P6_3/mmc (No. 194)
One atom of each set of equivalent atoms:
Fe 0.1390 0.2779 0.2500 [6 per cell]
Cl 0.3333 0.6667 0.7500 [2 per cell]

Magnetic moment: 8.747 μB per formula unit
VASP energy: -6.175 eV/atom

The following is a PBE calculation of Fe3Cl after structural relaxation, from OQMD.

a b c (Å): 3.799 3.799 3.799
angles (deg): 90.00 90.00 90.00
Space group Pm-3m (No. 221)
One atom of each set of equivalent atoms:
Fe 0.000 0.000 0.500 [3 per cell]
Cl 0.500 0.500 0.500 [1 per cell]

Magnetic moment: 9.003 μB per formula unit
VASP energy: -6.082 eV/atom

The following is a PBE calculation of FeCl2 after structural relaxation, from OQMD.

a b c (Å): 6.263 6.506 6.617
angles (deg): 68.02 63.32 77.71
Space group P-1 (No. 2)
One atom of each set of equivalent atoms:
Fe 0.003 0.123 0.128 [2 per cell]
Cl 0.000 0.000 0.500 [1 per cell]
Cl 0.000 0.500 0.000 [1 per cell]
Cl 0.326 0.989 0.859 [2 per cell]

Magnetic moment: 4.000 μB per formula unit
VASP energy: -4.670 eV/atom

The following is a PBE calculation of FeCl2 after structural relaxation, from OQMD.

a b c (Å): 3.414 5.915 12.672
angles (deg): 90.00 90.00 90.00
Space group Pmn2_1 (No. 31)
One atom of each set of equivalent atoms:
Fe 0.000 0.017 0.000 [2 per cell]
Fe 0.000 0.410 0.498 [2 per cell]
Cl 0.000 0.104 0.623 [2 per cell]
Cl 0.000 0.398 0.104 [2 per cell]
Cl 0.000 0.711 0.875 [2 per cell]
Cl 0.000 0.791 0.394 [2 per cell]

Magnetic moment: 4.012 μB per formula unit
VASP energy: -4.707 eV/atom

Please write out number 4 again, unchanged.
The following is a PBE calculation of FeCl2 after structural relaxation, from OQMD.

a b c (Å): 3.5055 3.5055 17.8037
angles (deg): 90.00 90.00 120.00
Space group R-3m (No. 166, hexagonal axes)
One atom of each set of equivalent atoms:
Fe 0.0000 0.0000 0.0000 [3 per cell]
Cl 0.0000 0.0000 0.2549 [6 per cell]

Magnetic moment: 4.000 μB per formula unit
VASP energy: -4.710 eV/atom

Which of these has the lowest VASP energy? number 5